(1)
# Na2Mn2IO6

A geometry-optimized Na2Mn2IO6 structure (PBE+U, the Alexandria database).

Results
The value obtained for the magnetization is 18.0 μB per cell. As for the total DFT energy (no corrections): -5.64 eV/atom.

Unit cell a=5.7507 b=9.4043 c=5.9686 alpha=90.00 beta=111.02 gamma=90.00
Space group C2/m (No. 12)
Asymmetric unit:
Na1 0.0000 0.1771 0.0000 [4 per cell]
Mn1 0.0000 0.3353 0.5000 [4 per cell]
I1 0.0000 0.0000 0.5000 [2 per cell]
O1 0.2117 0.1732 0.7021 [8 per cell]
O2 0.2391 0.5000 0.6836 [4 per cell]

***

(2)
# Li5Mo3O12

A geometry-optimized Li5Mo3O12 structure (PBE+U, the Alexandria database).

Results
The value obtained for the magnetization is 9.0 μB per cell. As for the total DFT energy (no corrections): -5.86 eV/atom.

Unit cell a=11.4237 b=11.4237 c=11.4237 alpha=90.00 beta=90.00 gamma=90.00
Space group Ia-3d (No. 230)
Asymmetric unit:
Li1 0.0000 0.0000 0.0000 [16 per cell]
Li2 0.0000 0.2500 0.3750 [24 per cell]
Mo1 0.0000 0.2500 0.1250 [24 per cell]
O1 0.0238 0.0760 0.6551 [96 per cell]

***

Which of these has the lowest magnetization? Li5Mo3O12